First-principles (PBE+U) data for a relaxed structure of NaCoAsF2, as listed in the Alexandria database.

symmetry = P4/mmm (123)
electronic total energy = -3.80 eV/atom

a = 4.4636 Å, b = 4.4941 Å, c = 4.4636 Å
α = 90.00°, β = 90.00°, γ = 90.00°
Fractional positions:
Na 0.5000 0.5000 0.5000
As 0.0000 0.0000 0.0000
Co 0.0000 0.5000 0.0000
F 0.0000 0.0000 0.5000
F 0.5000 0.0000 0.0000